Material: Ce2HfMg
Method: DFT, GGA-PBE
State: optimized geometry

Summary:
- volume (A^3/atom) = 25.04
- E_form (eV per atom) = 0.168
- relative energy among the computed polymorphs (meV per atom) = 97

Cell lengths 4.544, 4.544, 4.851 Å; angles 90.00, 90.00, 90.00 degrees
Element x y z (fractional)
1 Ce 0.000 0.500 0.000
2 Ce 0.500 0.000 0.000
3 Hf 0.000 0.000 0.500
4 Mg 0.500 0.500 0.500

Material: Pr2GdHg
Method: DFT, GGA-PBE
State: optimized geometry

Summary:
- volume (A^3/atom) = 32.60
- E_form (eV per atom) = -0.132
- relative energy among the computed polymorphs (meV per atom) = 86

Cell lengths 11.153, 11.153, 11.153 Å; angles 19.14, 19.14, 19.14 degrees
Element x y z (fractional)
1 Pr 0.244 0.244 0.244
2 Pr 0.756 0.756 0.756
3 Gd 0.000 0.000 0.000
4 Hg 0.500 0.500 0.500